Here is crystalline VNiAu3 at its relaxed geometry from Alexandria. Energies are from PBE.

The calculation puts the theoretical density at 11.057 g cm⁻³. The calculation puts the density of states at the Fermi level at 10.45 states/eV per cell. Its formation energy from the elements is 0.808 eV per atom. The value obtained for the energy relative to the lowest polymorph listed for this composition is 0.000 eV/f.u.

It has space group Pm-3m (No. 221), with a = 4.721 Å, b = 4.721 Å, c = 4.721 Å, α = 90.00°, β = 90.00° and γ = 90.00°. Symmetry generates all atoms from V at (0.000, 0.000, 0.000), Ni at (0.500, 0.500, 0.500) and Au at (0.000, 0.500, 0.500).